First-principles (PBE) data for a relaxed MgOs2PdS crystal, as listed in Alexandria via LeMat-Bulk.

Geometry as POSCAR:
```
MgOs2PdS
1.0
4.821 0.000 0.000
0.000 4.821 0.000
0.000 0.000 4.772
Mg Os Pd S
1 2 1 1
Direct
0.000 0.000 0.000 Mg
0.000 0.500 0.500 Os
0.500 0.000 0.500 Os
0.000 0.000 0.500 Pd
0.500 0.500 0.000 S
```

As for the formation energy without anion corrections: 1.875 eV/atom.